First-principles (PBE) data for an optimized crystal structure of RbCoNi, as listed in the Open Quantum Materials Database.

The structure in extended XYZ format:
```
3
Lattice="0.0000 3.2410 3.2410 3.2410 0.0000 3.2410 3.2410 3.2410 0.0000" Properties=species:S:1:pos:R:3 pbc="T T T"
Rb 4.8615 4.8615 4.8615
Co 0.0000 0.0000 0.0000
Ni 1.6205 1.6205 1.6205
```

Calculated values
- Total DFT energy (no corrections): -3.00 eV/atom
- ρ: 4.953 g/cm3
- ΔE to the lowest computed polymorph: 0.03 eV/f.u.